## 1
An optimized crystal structure of NbAlTe2I. Source: the Alexandria database, functional PBE-GGA.

Values from the calculation:
- space-group type = No. 123

Lattice parameters (Å, degrees): 5.3159 5.3159 5.3267 90.00 90.00 90.00
With the nearest neighbours (Å) after each atom.
Positions (direct):
Nb 0.0000 0.0000 0.0000  4 I 3.76, 8 Te 3.76
Al 0.5000 0.5000 0.5000  4 Te 2.66, 2 I 2.66
Te 0.0000 0.5000 0.5000  2 Al 2.66
Te 0.5000 0.0000 0.5000  2 Al 2.66
I 0.5000 0.5000 0.0000  2 Al 2.66

## 2
An optimized crystal structure of NbAlTe2I. Source: the Alexandria database, functional PBE-GGA.

Values from the calculation:
- space-group type = No. 123

Lattice parameters (Å, degrees): 5.4236 5.4236 5.8382 90.00 90.00 90.00
With the nearest neighbours (Å) after each atom.
Positions (direct):
Nb 0.0000 0.0000 0.0000  4 Te 2.71, 2 I 2.92
Al 0.5000 0.5000 0.5000  4 I 3.84, 8 Te 3.98
Te 0.0000 0.5000 0.0000  2 Nb 2.71
Te 0.5000 0.0000 0.0000  2 Nb 2.71
I 0.0000 0.0000 0.5000  2 Nb 2.92

Which structure is the least stable? The one labeled 1.

## 1
An optimized crystal structure of ZrNbAlI2. Source: the Alexandria database, functional PBE-GGA.

Values from the calculation:
- space-group type = No. 123

Lattice parameters (Å, degrees): 5.2913 5.2913 5.3864 90.00 90.00 90.00
With the nearest neighbours (Å) after each atom.
Positions (direct):
Zr 0.0000 0.0000 0.0000  2 Al 2.69
Nb 0.5000 0.5000 0.0000  4 Zr 3.74, 8 I 3.78
Al 0.0000 0.0000 0.5000  4 I 2.65, 2 Zr 2.69
I 0.0000 0.5000 0.5000  2 Al 2.65
I 0.5000 0.0000 0.5000  2 Al 2.65

## 2
An optimized crystal structure of ZrNbAlI2. Source: the Alexandria database, functional PBE-GGA.

Values from the calculation:
- space-group type = No. 123

Lattice parameters (Å, degrees): 5.7512 5.7512 5.1477 90.00 90.00 90.00
With the nearest neighbours (Å) after each atom.
Positions (direct):
Zr 0.0000 0.0000 0.0000  2 Nb 2.57, 4 I 2.88
Nb 0.0000 0.0000 0.5000  2 Zr 2.57
Al 0.5000 0.5000 0.5000  8 I 3.86, 4 Nb 4.07
I 0.0000 0.5000 0.0000  2 Zr 2.88
I 0.5000 0.0000 0.0000  2 Zr 2.88

Which structure is the least stable? The one labeled 1.

## 1
An optimized crystal structure of AlNi2I2. Source: the Alexandria database, functional PBE-GGA.

Values from the calculation:
- space-group type = No. 139

Lattice parameters (Å, degrees): 8.1130 8.1130 8.1130 152.97 152.97 38.60
With the nearest neighbours (Å) after each atom.
Positions (direct):
Al 0.0000 0.0000 0.0000  8 I 3.37
Ni 0.2500 0.7500 0.5000  4 I 2.61, 4 Ni 2.68
Ni 0.7500 0.2500 0.5000  4 I 2.61, 4 Ni 2.68
I 0.3668 0.3668 0.0000  4 Ni 2.61
I 0.6332 0.6332 0.0000  4 Ni 2.61

## 2
An optimized crystal structure of AlNi2I2. Source: the Alexandria database, functional PBE-GGA.

Values from the calculation:
- space-group type = No. 127

Lattice parameters (Å, degrees): 7.7802 7.7802 3.4296 90.00 90.00 90.00
With the nearest neighbours (Å) after each atom.
Positions (direct):
Al 0.0000 0.0000 0.0000  4 I 2.88
Al 0.5000 0.5000 0.0000  4 I 2.88
Ni 0.1153 0.3847 0.5000  1 Ni 2.54
Ni 0.3847 0.8847 0.5000  1 Ni 2.54
Ni 0.6153 0.1153 0.5000  1 Ni 2.54
Ni 0.8847 0.6153 0.5000  1 Ni 2.54
I 0.1728 0.6728 0.0000  6 Ni 2.86-2.89, 2 Al 2.88
I 0.3272 0.1728 0.0000  6 Ni 2.86-2.89, 2 Al 2.88
I 0.6728 0.8272 0.0000  6 Ni 2.86-2.89, 2 Al 2.88
I 0.8272 0.3272 0.0000  6 Ni 2.86-2.89, 2 Al 2.88

Which structure is the least stable? The one labeled 2.

## 1
An optimized crystal structure of AlNi3I. Source: the Alexandria database, functional PBE-GGA.

Values from the calculation:
- space-group type = No. 221

Lattice parameters (Å, degrees): 4.6477 4.6477 4.6477 90.00 90.00 90.00
With the nearest neighbours (Å) after each atom.
Positions (direct):
Al 0.0000 0.0000 0.0000  12 Ni 3.29
Ni 0.0000 0.5000 0.5000  2 I 2.32
Ni 0.5000 0.0000 0.5000  2 I 2.32
Ni 0.5000 0.5000 0.0000  2 I 2.32
I 0.5000 0.5000 0.5000  6 Ni 2.32

## 2
An optimized crystal structure of AlNi3I. Source: the Alexandria database, functional PBE-GGA.

Values from the calculation:
- space-group type = No. 221

Lattice parameters (Å, degrees): 4.4282 4.4282 4.4282 90.00 90.00 90.00
With the nearest neighbours (Å) after each atom.
Positions (direct):
Al 0.0000 0.0000 0.0000  6 Ni 2.21
Ni 0.0000 0.0000 0.5000  2 Al 2.21
Ni 0.0000 0.5000 0.0000  2 Al 2.21
Ni 0.5000 0.0000 0.0000  2 Al 2.21
I 0.5000 0.5000 0.5000  12 Ni 3.13

Which structure is the least stable? The one labeled 1.

## 1
An optimized crystal structure of AlNiI2. Source: the Alexandria database, functional PBE-GGA.

Values from the calculation:
- space-group type = No. 225

Lattice parameters (Å, degrees): 5.1359 5.1359 5.1359 60.00 60.00 60.00
With the nearest neighbours (Å) after each atom.
Positions (direct):
Al 0.0000 0.0000 0.0000  8 I 3.15
Ni 0.5000 0.5000 0.5000  8 I 3.15
I 0.2500 0.2500 0.2500  4 Ni 3.15, 4 Al 3.15
I 0.7500 0.7500 0.7500  4 Ni 3.15, 4 Al 3.15

## 2
An optimized crystal structure of AlNiI2. Source: the Alexandria database, functional PBE-GGA.

Values from the calculation:
- space-group type = No. 122

Lattice parameters (Å, degrees): 6.6676 6.6676 6.6676 108.01 108.01 112.43
With the nearest neighbours (Å) after each atom.
Positions (direct):
Al 0.0000 0.0000 0.0000  8 I 3.39-3.65, 2 Ni 3.71
Al 0.7500 0.2500 0.5000  8 I 3.39-3.65, 2 Ni 3.71
Ni 0.2500 0.7500 0.5000  4 I 2.53
Ni 0.5000 0.5000 0.0000  4 I 2.53
I 0.2074 0.1250 0.5824  2 Ni 2.53
I 0.3750 0.7926 0.9176  2 Ni 2.53
I 0.5426 0.6250 0.4176  2 Ni 2.53
I 0.8750 0.4574 0.0824  2 Ni 2.53

Which structure is the least stable? The one labeled 1.

## 1
An optimized crystal structure of Al2NiI. Source: the Alexandria database, functional PBE-GGA.

Values from the calculation:
- space-group type = No. 122

Lattice parameters (Å, degrees): 7.8189 7.8189 7.8189 137.82 137.82 61.18
With the nearest neighbours (Å) after each atom.
Positions (direct):
Al 0.3750 0.2412 0.3662  2 Ni 2.29
Al 0.7588 0.1250 0.1338  2 Ni 2.29
Al 0.8750 0.0088 0.6338  2 Ni 2.29
Al 0.9912 0.6250 0.8662  2 Ni 2.29
Ni 0.0000 0.0000 0.0000  4 Al 2.29
Ni 0.7500 0.2500 0.5000  4 Al 2.29
I 0.2500 0.7500 0.5000  4 Al 3.08
I 0.5000 0.5000 0.0000  4 Al 3.08

## 2
An optimized crystal structure of Al2NiI. Source: the Alexandria database, functional PBE-GGA.

Values from the calculation:
- space-group type = No. 225

Lattice parameters (Å, degrees): 4.7863 4.7863 4.7863 60.00 60.00 60.00
With the nearest neighbours (Å) after each atom.
Positions (direct):
Al 0.2500 0.2500 0.2500  4 Ni 2.93, 4 I 2.93
Al 0.7500 0.7500 0.7500  4 Ni 2.93, 4 I 2.93
Ni 0.0000 0.0000 0.0000  8 Al 2.93
I 0.5000 0.5000 0.5000  8 Al 2.93

Which structure is the least stable? The one labeled 2.